Record 1
! TmMgAlTl | Alexandria | GGA-PBE | relaxed; values from VASP
&SYSTEM
  ibrav = 0, nat = 4, ntyp = 4
/
ATOMIC_SPECIES
Al 26.98 Al.upf
Tm 168.93 Tm.upf
Tl 204.38 Tl.upf
Mg 24.30 Mg.upf
CELL_PARAMETERS angstrom
5.092 0.000 0.000
2.546 4.409 0.000
2.546 1.470 4.157
ATOMIC_POSITIONS crystal
Al 0.500 0.500 0.500
Tm 0.750 0.750 0.750
Tl 0.000 0.000 0.000
Mg 0.250 0.250 0.250
! Final energy ... -3.175 eV/atom

Record 2
! KMgAsH12O10 | Alexandria | GGA-PBE | relaxed; values from VASP
&SYSTEM
  ibrav = 0, nat = 50, ntyp = 5
/
ATOMIC_SPECIES
H 1.01 H.upf
O 16.00 O.upf
K 39.10 K.upf
As 74.92 As.upf
Mg 24.30 Mg.upf
CELL_PARAMETERS angstrom
-0.887 -6.220 0.399
6.979 -1.104 -1.699
2.678 0.311 10.802
ATOMIC_POSITIONS crystal
H 0.997 0.388 0.009
O 0.000 0.500 0.333
H 0.370 0.746 0.001
H 0.796 0.306 0.680
H 0.630 0.754 0.501
O 0.133 0.195 0.039
H 0.370 0.254 0.001
O 0.906 0.500 0.997
O 0.000 0.000 0.833
K 0.398 0.000 0.705
H 0.309 0.398 0.735
H 0.691 0.898 0.235
As 0.994 0.500 0.487
H 0.204 0.806 0.180
As 0.006 0.000 0.987
Mg 0.646 0.500 0.880
H 0.843 0.817 0.795
O 0.524 0.294 0.993
O 0.867 0.305 0.539
O 0.254 0.783 0.265
O 0.254 0.217 0.265
O 0.476 0.206 0.493
O 0.867 0.695 0.539
O 0.250 0.500 0.544
O 0.746 0.283 0.765
O 0.524 0.706 0.993
H 0.796 0.694 0.680
H 0.997 0.612 0.009
O 0.655 0.000 0.288
O 0.345 0.500 0.788
H 0.388 0.320 0.509
O 0.133 0.805 0.039
H 0.309 0.602 0.735
O 0.094 0.000 0.497
H 0.003 0.888 0.509
O 0.476 0.794 0.493
O 0.750 0.000 0.044
H 0.630 0.246 0.501
H 0.003 0.112 0.509
H 0.691 0.102 0.235
H 0.612 0.180 0.009
H 0.157 0.317 0.295
H 0.612 0.820 0.009
O 0.746 0.717 0.765
H 0.843 0.183 0.795
H 0.157 0.683 0.295
K 0.602 0.500 0.205
H 0.388 0.680 0.509
Mg 0.354 0.000 0.380
H 0.204 0.194 0.180
! Final energy ... -5.184 eV/atom

Record 3
! GaNi5 | Alexandria | GGA-PBE | relaxed; values from VASP
&SYSTEM
  ibrav = 0, nat = 6, ntyp = 2
/
ATOMIC_SPECIES
Ga 69.72 Ga.upf
Ni 58.69 Ni.upf
CELL_PARAMETERS angstrom
-2.647 -1.325 1.990
-0.709 -2.418 -2.553
3.738 -2.164 3.531
ATOMIC_POSITIONS crystal
Ga 0.000 0.000 0.000
Ni 0.500 0.831 0.661
Ni 0.500 0.500 0.000
Ni 0.000 0.668 0.336
Ni 0.500 0.169 0.339
Ni 0.000 0.332 0.664
! Energy above the most stable polymorph in this dataset ... 0.000 eV/atom

no.,DOS at the Fermi energy (states/eV per atom)
1,0.4575
2,0.0000
3,1.1652